Material: CsZn2Sn2
Method: DFT, PBEsol
State: relaxed

The calculation puts the formation energy at -0.072 eV/atom. The total energy comes out at -2.5973 eV per atom.

Cell lengths 4.8123, 4.8123, 6.7038 Å; angles 111.03, 111.03, 90.00 degrees
Atoms (fractional coordinates):
Zn  0.2500  0.7500  0.5000
Zn  0.7500  0.2500  0.5000
Sn  0.3704  0.3704  0.7409
Sn  0.6296  0.6296  0.2591
Cs  0.0000  0.0000  0.0000